# 1
KTeCl2 | GGA-PBE | relaxed

Cell lengths 7.9021, 7.9021, 7.9021 Å; angles 90.00, 90.00, 90.00 degrees
Closest atoms and distances in Å follow each position.
Space group F-43m (No. 216)
Asymmetric unit:
K  0.0000  0.0000  0.0000  4 Te 3.42, 4 Cl 3.42
Te  0.2500  0.2500  0.7500  4 Cl 3.42, 4 K 3.42
Cl  0.0000  0.0000  0.5000  4 Cl 3.42, 4 Te 3.42
Cl  0.2500  0.2500  0.2500  4 Cl 3.42, 4 K 3.42

Output
offset from the most stable computed form = 0.607 eV per atom
electronic total energy = -2.32 eV/atom

***

# 2
KTeCl2 | GGA-PBE | relaxed

Cell lengths 5.5973, 5.5973, 18.3142 Å; angles 90.00, 90.00, 90.00 degrees
Closest atoms and distances in Å follow each position.
Space group I-42d (No. 122)
Asymmetric unit:
K  0.0000  0.0000  0.0000  4 Cl 3.22
Te  0.0000  0.0000  0.5000  4 Cl 2.87
Cl  0.1806  0.2500  0.6250  2 Te 2.87

Output
offset from the most stable computed form = 0.203 eV per atom
electronic total energy = -2.72 eV/atom

***

# 3
KTeCl2 | GGA-PBE | relaxed

Cell lengths 3.7098, 3.7098, 31.1461 Å; angles 90.00, 90.00, 120.00 degrees
Closest atoms and distances in Å follow each position.
Space group R-3m (No. 166, hexagonal axes)
Asymmetric unit:
K  0.0000  0.0000  0.0000  2 Cl 2.78
Te  0.0000  0.0000  0.5000  6 Cl 3.23
Cl  0.0000  0.0000  0.0892  1 K 2.78

Output
offset from the most stable computed form = 0.649 eV per atom
electronic total energy = -2.27 eV/atom

***

# 4
K12Te3Cl5 | GGA-PBE | relaxed

Cell lengths 19.2794, 19.2794, 19.2794 Å; angles 90.00, 90.00, 90.00 degrees
Closest atoms and distances in Å follow each position.
Space group Ia-3d (No. 230)
Asymmetric unit:
K  0.0211  0.0645  0.6538  2 Cl 3.00-3.24
Te  0.0000  0.2500  0.1250  8 K 3.60-3.64
Cl  0.0000  0.0000  0.0000  6 K 3.24
Cl  0.0000  0.2500  0.3750  4 K 3.00

Output
electronic total energy = -2.96 eV/atom

***

# 5
KTe3Cl | GGA-PBE | relaxed

Cell lengths 5.5668, 5.5668, 5.5668 Å; angles 90.00, 90.00, 90.00 degrees
Closest atoms and distances in Å follow each position.
Space group Pm-3m (No. 221)
Asymmetric unit:
K  0.0000  0.0000  0.0000  12 Te 3.94
Te  0.0000  0.5000  0.5000  2 Cl 2.78
Cl  0.5000  0.5000  0.5000  6 Te 2.78

Output
offset from the most stable computed form = 0.000 eV per atom
electronic total energy = -2.40 eV/atom

***

# 6
KTeCl2 | GGA-PBE | relaxed

Cell lengths 7.9826, 8.2698, 5.5137 Å; angles 90.00, 131.78, 90.00 degrees
Closest atoms and distances in Å follow each position.
Space group C2/m (No. 12)
Asymmetric unit:
K  0.0000  0.0000  0.0000  4 Cl 2.92
Te  0.0000  0.5000  0.0000  4 Cl 2.92
Cl  0.2500  0.2500  0.5000  2 K 2.92, 2 Te 2.92

Output
offset from the most stable computed form = 0.108 eV per atom
electronic total energy = -2.82 eV/atom

***

# 7
KTeCl2 | GGA-PBE | relaxed

Cell lengths 5.4304, 4.6004, 5.5406 Å; angles 90.00, 91.41, 90.00 degrees
Closest atoms and distances in Å follow each position.
Space group P2/m (No. 10)
Asymmetric unit:
K  0.0000  0.0000  0.0000  4 Cl 3.25
Te  0.5000  0.0000  0.5000  4 Cl 2.82
Cl  0.2935  0.5000  0.7094  2 Te 2.82

Output
offset from the most stable computed form = 0.128 eV per atom
electronic total energy = -2.79 eV/atom

***

# 8
K2TeCl | GGA-PBE | relaxed

Cell lengths 4.7408, 6.9496, 9.3059 Å; angles 90.00, 90.00, 90.00 degrees
Closest atoms and distances in Å follow each position.
Space group Immm (No. 71)
Asymmetric unit:
K  0.0000  0.0000  0.2119  2 Cl 3.08
Te  0.0000  0.5000  0.0000  8 K 3.58-4.00
Cl  0.0000  0.5000  0.5000  4 K 3.08

Output
offset from the most stable computed form = 0.226 eV per atom
electronic total energy = -2.87 eV/atom

***

# 9
K2TeCl | GGA-PBE | relaxed

Cell lengths 4.0828, 4.0828, 9.6572 Å; angles 90.00, 90.00, 90.00 degrees
Closest atoms and distances in Å follow each position.
Space group P4mm (No. 99)
Asymmetric unit:
K  0.0000  0.0000  0.0000  4 Cl 3.10
K  0.5000  0.5000  0.4312  1 Cl 3.02
Te  0.0000  0.0000  0.6395  5 K 3.48-3.52
Cl  0.5000  0.5000  0.1180  5 K 3.02-3.10

Output
offset from the most stable computed form = 0.109 eV per atom
electronic total energy = -2.98 eV/atom

***

# 10
KTeCl4 | GGA-PBE | relaxed

Cell lengths 9.0931, 14.2688, 7.5614 Å; angles 90.00, 126.35, 90.00 degrees
Closest atoms and distances in Å follow each position.
Space group C2/c (No. 15)
Asymmetric unit:
K  0.0000  0.1243  0.2500  8 Cl 3.19-3.46
Te  0.0000  0.4019  0.7500  4 Cl 2.52-2.59
Cl  0.1571  0.2761  0.6840  1 Te 2.52
Cl  0.2116  0.4744  0.2577  1 Te 2.59

Output
offset from the most stable computed form = 0.000 eV per atom
electronic total energy = -2.94 eV/atom

***

# 11
KTe3Cl | GGA-PBE | relaxed

Cell lengths 6.0464, 6.0464, 6.0464 Å; angles 90.00, 90.00, 90.00 degrees
Closest atoms and distances in Å follow each position.
Space group Pm-3m (No. 221)
Asymmetric unit:
K  0.0000  0.0000  0.0000  6 Te 3.02
Te  0.0000  0.0000  0.5000  2 K 3.02
Cl  0.5000  0.5000  0.5000  12 Te 4.28

Output
offset from the most stable computed form = 0.772 eV per atom
electronic total energy = -1.62 eV/atom

***

# 12
K2TeCl6 | GGA-PBE | relaxed

Cell lengths 6.9413, 6.9413, 13.4985 Å; angles 90.00, 90.00, 90.00 degrees
Closest atoms and distances in Å follow each position.
Space group P4_2/mnm (No. 136)
Asymmetric unit:
K  0.0000  0.0000  0.1657  6 Cl 3.16-3.23
Te  0.0000  0.0000  0.5000  6 Cl 2.57
Cl  0.1801  0.1801  0.3615  1 Te 2.57
Cl  0.2379  0.2379  0.0000  1 Te 2.57

Output
offset from the most stable computed form = 0.034 eV per atom
electronic total energy = -3.05 eV/atom

***

# 13
KTeCl2 | GGA-PBE | relaxed

Cell lengths 7.8422, 7.8422, 7.8422 Å; angles 90.00, 90.00, 90.00 degrees
Closest atoms and distances in Å follow each position.
Space group Fm-3m (No. 225)
Asymmetric unit:
K  0.0000  0.0000  0.0000  8 Cl 3.40
Te  0.0000  0.0000  0.5000  8 Cl 3.40
Cl  0.2500  0.2500  0.2500  4 K 3.40, 4 Te 3.40

Output
offset from the most stable computed form = 0.338 eV per atom
electronic total energy = -2.59 eV/atom

***

# 14
K2TeCl | GGA-PBE | relaxed

Cell lengths 3.7148, 5.6058, 7.1504 Å; angles 90.00, 90.00, 90.00 degrees
Closest atoms and distances in Å follow each position.
Space group Pmm2 (No. 25)
Asymmetric unit:
K  0.0000  0.0000  0.0000  4 Cl 3.36, 2 Te 3.51-3.64, 2 K 3.71
K  0.5000  0.5000  0.4407  1 Cl 3.05, 4 Te 3.40
Te  0.0000  0.0000  0.5093  6 K 3.40-3.64, 2 Te 3.71
Cl  0.5000  0.5000  0.0146  5 K 3.05-3.36

Output
offset from the most stable computed form = 0.139 eV per atom
electronic total energy = -2.95 eV/atom

***

# 15
K2TeCl | GGA-PBE | relaxed

Cell lengths 8.2745, 8.2745, 8.2745 Å; angles 90.00, 90.00, 90.00 degrees
Closest atoms and distances in Å follow each position.
Space group Fm-3m (No. 225)
Asymmetric unit:
K  0.2500  0.2500  0.2500  4 Cl 3.58, 4 Te 3.58
Te  0.0000  0.0000  0.0000  8 K 3.58
Cl  0.0000  0.0000  0.5000  8 K 3.58

Output
offset from the most stable computed form = 0.255 eV per atom
electronic total energy = -2.84 eV/atom

***

# 16
K3TeCl6 | GGA-PBE | relaxed

Cell lengths 7.5119, 7.7952, 13.3355 Å; angles 90.00, 118.73, 90.00 degrees
Closest atoms and distances in Å follow each position.
Space group P2_1/c (No. 14)
Asymmetric unit:
K  0.0000  0.0000  0.0000  6 Cl 3.06-3.22
K  0.2757  0.0730  0.7619  5 Cl 3.08-3.39
Te  0.5000  0.0000  0.5000  4 Cl 2.58
Cl  0.1224  0.0572  0.2517  3 K 3.06-3.08, 1 Te 3.19
Cl  0.3105  0.6810  0.0810  1 Te 2.58
Cl  0.4001  0.2230  0.0664  1 Te 2.58

Output
electronic total energy = -3.10 eV/atom

***

# 17
K2TeCl5 | GGA-PBE | relaxed

Cell lengths 7.5069, 7.5069, 9.6184 Å; angles 90.00, 90.00, 90.00 degrees
Closest atoms and distances in Å follow each position.
Space group I4mm (No. 107)
Asymmetric unit:
K  0.0000  0.5000  0.0000  10 Cl 3.52-3.76
Te  0.0000  0.0000  0.2662  5 Cl 2.57-2.75
Cl  0.0000  0.0000  0.9800  1 Te 2.75
Cl  0.2418  0.2418  0.2604  1 Te 2.57

Output
offset from the most stable computed form = 0.081 eV per atom
electronic total energy = -2.98 eV/atom

***

# 18
KThTe2Cl | GGA-PBE | relaxed

Cell lengths 9.2410, 4.5487, 9.9197 Å; angles 90.00, 105.29, 90.00 degrees
Closest atoms and distances in Å follow each position.
Space group P2_1/m (No. 11)
Asymmetric unit:
K  0.2312  0.2500  0.3146  2 Cl 3.21
Th  0.3240  0.2500  0.8203  1 Cl 2.68
Te  0.3211  0.7500  0.0451  3 Th 3.19-3.20
Te  0.3549  0.7500  0.6188  2 Th 3.09
Cl  0.0236  0.2500  0.7482  1 Th 2.68

Output
electronic total energy = -4.82 eV/atom

***

# 19
KTlTeCl2 | GGA-PBE | relaxed

Cell lengths 5.3811, 5.3811, 9.2449 Å; angles 90.00, 90.00, 90.00 degrees
Closest atoms and distances in Å follow each position.
Space group P4/mmm (No. 123)
Asymmetric unit:
K  0.0000  0.0000  0.0000  4 Te 3.80
Tl  0.0000  0.0000  0.5000  4 Cl 2.69
Te  0.5000  0.5000  0.0000  4 K 3.80
Cl  0.0000  0.5000  0.5000  2 Tl 2.69

Output
electronic total energy = -2.51 eV/atom

***

# 20
K2TlTeCl6 | GGA-PBE | relaxed

Cell lengths 7.4747, 7.8646, 8.0757 Å; angles 61.46, 89.59, 63.90 degrees
Closest atoms and distances in Å follow each position.
Space group P1 (No. 1)
Asymmetric unit:
K  0.0000  0.0000  0.0000  5 Cl 3.07-3.35
K  0.4793  0.0042  0.4743  5 Cl 3.09-3.44
Tl  0.2013  0.5656  0.6190  6 Cl 3.03-3.36
Te  0.6936  0.5876  0.0938  4 Cl 2.58
Cl  0.0592  0.0617  0.3399  1 Tl 3.07, 2 K 3.07-3.09, 1 Te 3.29
Cl  0.3364  0.0754  0.8105  1 Tl 3.03, 2 K 3.07-3.12, 1 Te 3.13
Cl  0.4452  0.4901  0.2927  1 Te 2.58
Cl  0.6016  0.4843  0.8601  1 Te 2.58
Cl  0.7928  0.7135  0.3039  1 Te 2.58
Cl  0.9046  0.7231  0.8625  1 Te 2.58

Output
electronic total energy = -3.04 eV/atom

***

Energy relative to the elements, uncorrected (eV per atom)
-0.333; -0.737; -0.291; -1.365; 0.078; -0.832; -0.811; -1.069; -1.187; -1.000; 0.850; -1.229; -0.602; -1.157; -1.041; -1.348; -1.163; -1.493; -0.449; -1.159